[1]
Material: Y5HoIn4
Method: DFT, PBE
State: optimized geometry

Results
Total moment (μB/f.u.): 0.0
DOS(E_F) (states/eV per atom): 0.67
ΔE_f (eV/atom): -0.40
Electronic total energy (eV/atom): -5.19

Cell: 3.591 3.591 21.553 Å, 90.00 90.00 90.00°
Fractional positions:
Y (0.000, 0.000, 0.000)
Y (0.000, 0.000, 0.194)
Y (0.000, 0.000, 0.385)
Y (0.000, 0.000, 0.615)
Y (0.000, 0.000, 0.806)
Ho (0.500, 0.500, 0.500)
In (0.500, 0.500, 0.097)
In (0.500, 0.500, 0.290)
In (0.500, 0.500, 0.710)
In (0.500, 0.500, 0.903)

---

[2]
Material: Pm5Hg7
Method: DFT, PBE
State: optimized geometry

Results
Total moment (μB/f.u.): 0.0
DOS(E_F) (states/eV per atom): 0.83
ΔE_f (eV/atom): -0.38
Electronic total energy (eV/atom): -2.54

Cell: 5.163 5.163 15.023 Å, 100.03 100.03 59.97°
Fractional positions:
Pm (0.000, 0.000, 0.000)
Pm (0.141, 0.141, 0.422)
Pm (0.400, 0.400, 0.200)
Pm (0.600, 0.600, 0.800)
Pm (0.859, 0.859, 0.578)
Hg (0.071, 0.071, 0.213)
Hg (0.224, 0.224, 0.669)
Hg (0.305, 0.305, 0.917)
Hg (0.500, 0.500, 0.500)
Hg (0.695, 0.695, 0.083)
Hg (0.776, 0.776, 0.331)
Hg (0.929, 0.929, 0.787)

---

[3]
Material: PmVBi2
Method: DFT, PBE
State: optimized geometry

Results
Total moment (μB/f.u.): 3.6
DOS(E_F) (states/eV per atom): 1.28
ΔE_f (eV/atom): -0.05
Electronic total energy (eV/atom): -5.46

Cell: 5.079 5.079 4.201 Å, 90.00 90.00 90.00°
Fractional positions:
Pm (0.000, 0.000, 0.000)
V (0.500, 0.500, 0.000)
Bi (0.000, 0.500, 0.500)
Bi (0.500, 0.000, 0.500)

---

[4]
Material: La2ThV
Method: DFT, PBE
State: optimized geometry

Results
Total moment (μB/f.u.): 3.3
DOS(E_F) (states/eV per atom): 1.07
ΔE_f (eV/atom): 0.60
Electronic total energy (eV/atom): -6.00

Cell: 3.479 3.479 34.583 Å, 90.00 90.00 120.00°
Fractional positions:
La (0.000, 0.000, 0.081)
La (0.000, 0.000, 0.919)
La (0.333, 0.667, 0.585)
La (0.333, 0.667, 0.748)
La (0.667, 0.333, 0.252)
La (0.667, 0.333, 0.415)
Th (0.000, 0.000, 0.500)
Th (0.333, 0.667, 0.167)
Th (0.667, 0.333, 0.833)
V (0.000, 0.000, 0.000)
V (0.333, 0.667, 0.667)
V (0.667, 0.333, 0.333)

---

[5]
Material: SrCaSm2Tl4
Method: DFT, PBE
State: optimized geometry

Results
Total moment (μB/f.u.): 0.0
DOS(E_F) (states/eV per atom): 1.02
ΔE_f (eV/atom): -0.36
Electronic total energy (eV/atom): -3.19

Cell: 9.643 9.643 9.643 Å, 33.41 33.41 33.41°
Fractional positions:
Sr (0.000, 0.000, 0.000)
Ca (0.500, 0.500, 0.500)
Sm (0.248, 0.248, 0.248)
Sm (0.752, 0.752, 0.752)
Tl (0.126, 0.126, 0.126)
Tl (0.377, 0.377, 0.377)
Tl (0.623, 0.623, 0.623)
Tl (0.874, 0.874, 0.874)

---

[6]
Material: ZrTaPt2
Method: DFT, PBE
State: optimized geometry

Results
Total moment (μB/f.u.): 0.0
DOS(E_F) (states/eV per atom): 0.39
ΔE_f (eV/atom): -0.73
Electronic total energy (eV/atom): -8.85

Cell: 3.435 3.435 6.114 Å, 90.00 90.00 90.00°
Fractional positions:
Zr (0.000, 0.000, 0.000)
Ta (0.500, 0.500, 0.690)
Pt (0.000, 0.000, 0.494)
Pt (0.500, 0.500, 0.220)

---

[7]
Material: Pm2Cu12Ni3Ge
Method: DFT, PBE
State: optimized geometry

Results
Total moment (μB/f.u.): 0.0
DOS(E_F) (states/eV per atom): 0.70
ΔE_f (eV/atom): 0.41
Electronic total energy (eV/atom): -4.07

Cell: 7.366 7.366 7.366 Å, 66.77 66.77 66.77°
Fractional positions:
Pm (0.107, 0.107, 0.107)
Pm (0.893, 0.893, 0.893)
Cu (0.148, 0.633, 0.633)
Cu (0.151, 0.151, 0.487)
Cu (0.151, 0.487, 0.151)
Cu (0.367, 0.367, 0.852)
Cu (0.367, 0.852, 0.367)
Cu (0.487, 0.151, 0.151)
Cu (0.513, 0.849, 0.849)
Cu (0.633, 0.148, 0.633)
Cu (0.633, 0.633, 0.148)
Cu (0.849, 0.513, 0.849)
Cu (0.849, 0.849, 0.513)
Cu (0.852, 0.367, 0.367)
Ni (0.000, 0.500, 0.500)
Ni (0.500, 0.000, 0.500)
Ni (0.500, 0.500, 0.000)
Ge (0.500, 0.500, 0.500)

---

[8]
Material: PbAu3S
Method: DFT, PBE
State: optimized geometry

Results
Total moment (μB/f.u.): 1.9
Raw formation energy (eV per atom): 1.04
DOS(E_F) (states/eV per atom): 1.16
Electronic total energy (eV/atom): -2.50

Cell: 5.360 5.360 5.360 Å, 90.00 90.00 90.00°
Fractional positions:
Pb (0.000, 0.000, 0.000)
Au (0.000, 0.000, 0.500)
Au (0.000, 0.500, 0.000)
Au (0.500, 0.000, 0.000)
S (0.500, 0.500, 0.500)

---

[9]
Material: CuBMo2Pt
Method: DFT, PBE
State: optimized geometry

Results
Total moment (μB/f.u.): 3.2
DOS(E_F) (states/eV per atom): 1.22
ΔE_f (eV/atom): 2.28
Electronic total energy (eV/atom): -5.41

Cell: 4.814 4.814 4.612 Å, 90.00 90.00 90.00°
Fractional positions:
Cu (0.000, 0.000, 0.000)
B (0.500, 0.500, 0.000)
Mo (0.000, 0.500, 0.500)
Mo (0.500, 0.000, 0.500)
Pt (0.000, 0.000, 0.500)

---

[10]
Material: Re4TcOs2
Method: DFT, PBE
State: optimized geometry

Results
Total moment (μB/f.u.): 0.0
DOS(E_F) (states/eV per atom): 0.92
ΔE_f (eV/atom): 0.20
Electronic total energy (eV/atom): -11.60

Cell: 13.367 2.742 6.616 Å, 90.00 119.47 90.00°
Fractional positions:
Re (0.060, 0.000, 0.222)
Re (0.154, 0.500, 0.976)
Re (0.346, 0.000, 0.024)
Re (0.440, 0.500, 0.778)
Re (0.560, 0.500, 0.222)
Re (0.654, 0.000, 0.976)
Re (0.846, 0.500, 0.024)
Re (0.940, 0.000, 0.778)
Tc (0.000, 0.500, 0.500)
Tc (0.500, 0.000, 0.500)
Os (0.212, 0.500, 0.620)
Os (0.288, 0.000, 0.380)
Os (0.712, 0.000, 0.620)
Os (0.788, 0.500, 0.380)

---

[11]
Material: TbPm2SmHo2
Method: DFT, PBE
State: optimized geometry

Results
Total moment (μB/f.u.): 0.0
DOS(E_F) (states/eV per atom): 1.65
ΔE_f (eV/atom): 0.27
Electronic total energy (eV/atom): -4.40

Cell: 6.596 18.018 3.396 Å, 90.00 90.00 90.00°
Fractional positions:
Tb (0.000, 0.000, 0.000)
Tb (0.500, 0.500, 0.500)
Pm (0.228, 0.186, 0.000)
Pm (0.272, 0.686, 0.500)
Pm (0.728, 0.314, 0.500)
Pm (0.772, 0.814, 0.000)
Sm (0.000, 0.500, 0.000)
Sm (0.500, 0.000, 0.500)
Ho (0.226, 0.353, 0.500)
Ho (0.274, 0.853, 0.000)
Ho (0.726, 0.147, 0.000)
Ho (0.774, 0.647, 0.500)

---

[12]
Material: Ca2ScPb
Method: DFT, PBE
State: optimized geometry

Results
Total moment (μB/f.u.): 0.0
DOS(E_F) (states/eV per atom): 1.03
ΔE_f (eV/atom): -0.10
Electronic total energy (eV/atom): -3.61

Cell: 6.908 9.407 3.777 Å, 90.00 90.00 90.00°
Fractional positions:
Ca (0.250, 0.250, 0.000)
Ca (0.250, 0.750, 0.000)
Ca (0.750, 0.250, 0.000)
Ca (0.750, 0.750, 0.000)
Sc (0.000, 0.000, 0.500)
Sc (0.500, 0.500, 0.500)
Pb (0.000, 0.500, 0.500)
Pb (0.500, 0.000, 0.500)

---

[13]
Material: Ce2ThCd2Sn2
Method: DFT, PBE
State: optimized geometry

Results
Total moment (μB/f.u.): 2.7
DOS(E_F) (states/eV per atom): 1.97
ΔE_f (eV/atom): -0.19
Electronic total energy (eV/atom): -4.35

Cell: 9.754 9.754 9.754 Å, 28.59 28.59 28.59°
Fractional positions:
Ce (0.145, 0.145, 0.145)
Ce (0.855, 0.855, 0.855)
Th (0.000, 0.000, 0.000)
Cd (0.421, 0.421, 0.421)
Cd (0.579, 0.579, 0.579)
Sn (0.270, 0.270, 0.270)
Sn (0.730, 0.730, 0.730)

---

[14]
Material: AcNd4Se7
Method: DFT, PBE
State: optimized geometry

Results
Total moment (μB/f.u.): 0.0
Raw formation energy (eV per atom): -1.88
DOS(E_F) (states/eV per atom): 0.15
Electronic total energy (eV/atom): -5.84

Cell: 7.365 7.365 12.659 Å, 104.06 104.06 32.73°
Fractional positions:
Ac (0.000, 0.000, 0.000)
Nd (0.113, 0.113, 0.423)
Nd (0.225, 0.225, 0.834)
Nd (0.412, 0.412, 0.606)
Nd (0.814, 0.814, 0.238)
Se (0.068, 0.068, 0.634)
Se (0.159, 0.159, 0.211)
Se (0.363, 0.363, 0.070)
Se (0.455, 0.455, 0.371)
Se (0.617, 0.617, 0.914)
Se (0.772, 0.772, 0.471)
Se (0.851, 0.851, 0.764)

---

[15]
Material: La2ErMg
Method: DFT, PBE
State: optimized geometry

Results
Total moment (μB/f.u.): 0.0
DOS(E_F) (states/eV per atom): 1.28
ΔE_f (eV/atom): 0.18
Electronic total energy (eV/atom): -3.82

Cell: 3.519 3.519 38.079 Å, 90.00 90.00 120.00°
Fractional positions:
La (0.000, 0.000, 0.090)
La (0.000, 0.000, 0.910)
La (0.333, 0.667, 0.577)
La (0.333, 0.667, 0.756)
La (0.667, 0.333, 0.244)
La (0.667, 0.333, 0.423)
Er (0.000, 0.000, 0.500)
Er (0.333, 0.667, 0.167)
Er (0.667, 0.333, 0.833)
Mg (0.000, 0.000, 0.000)
Mg (0.333, 0.667, 0.667)
Mg (0.667, 0.333, 0.333)

---

[16]
Material: MnRhSe2Br
Method: DFT, PBE
State: optimized geometry

Results
Total moment (μB/f.u.): 4.3
Raw formation energy (eV per atom): 0.36
DOS(E_F) (states/eV per atom): 0.72
Electronic total energy (eV/atom): -4.67

Cell: 4.912 4.912 5.016 Å, 90.00 90.00 90.00°
Fractional positions:
Mn (0.000, 0.000, 0.000)
Rh (0.500, 0.500, 0.500)
Se (0.000, 0.500, 0.500)
Se (0.500, 0.000, 0.500)
Br (0.500, 0.500, 0.000)

---

[17]
Material: ReIBr2
Method: DFT, PBE
State: optimized geometry

Results
Total moment (μB/f.u.): 0.0
Raw formation energy (eV per atom): 0.55
DOS(E_F) (states/eV per atom): 0.81
Electronic total energy (eV/atom): -3.78

Cell: 3.193 3.193 39.043 Å, 90.00 90.00 120.00°
Fractional positions:
Re (0.000, 0.000, 0.000)
Re (0.333, 0.667, 0.667)
Re (0.667, 0.333, 0.333)
I (0.000, 0.000, 0.500)
I (0.333, 0.667, 0.167)
I (0.667, 0.333, 0.833)
Br (0.000, 0.000, 0.061)
Br (0.000, 0.000, 0.939)
Br (0.333, 0.667, 0.606)
Br (0.333, 0.667, 0.727)
Br (0.667, 0.333, 0.273)
Br (0.667, 0.333, 0.394)

---

[18]
Material: Tb5Er4Sc2
Method: DFT, PBE
State: optimized geometry

Results
Total moment (μB/f.u.): 0.0
DOS(E_F) (states/eV per atom): 1.59
ΔE_f (eV/atom): 0.25
Electronic total energy (eV/atom): -4.66

Cell: 12.245 12.245 12.245 Å, 163.86 136.95 46.26°
Fractional positions:
Tb (0.000, 0.000, 0.000)
Tb (0.052, 0.349, 0.703)
Tb (0.354, 0.651, 0.703)
Tb (0.646, 0.349, 0.297)
Tb (0.948, 0.651, 0.297)
Er (0.310, 0.500, 0.810)
Er (0.401, 0.901, 0.500)
Er (0.599, 0.099, 0.500)
Er (0.690, 0.500, 0.190)
Sc (0.270, 0.770, 0.500)
Sc (0.730, 0.230, 0.500)